# BaAg2F6

BaAg2F6 after structural relaxation (PBE, Alexandria via LeMat-Bulk).

Output
* uncorrected formation energy: -1995 meV per atom
* volume: 168 Å³ per cell

abc: 6.0665 6.0665 5.2828
angles: 90.00 90.00 120.00
Space group P-31m (No. 162)
Inequivalent atoms, fractional coordinates:
Ba1 0.0000 0.0000 0.0000
Ag1 0.3333 0.6667 0.5000
F1 0.0000 0.3603 0.7140